# 1
Below is Tb2Nd3ScSe6 after structural relaxation, with properties calculated at the PBE level.

The structure in CIF format:
```
data_Tb2Nd3ScSe6
_chemical_formula_sum 'Tb2 Nd3 Sc1 Se6'
_cell_length_a 9.268
_cell_length_b 9.268
_cell_length_c 8.348
_cell_angle_alpha 104.22
_cell_angle_beta 104.22
_cell_angle_gamma 25.51
_space_group_name_H-M_alt 'P 1'
_space_group_IT_number 1
_space_group_name_Hall 'P 1'
loop_
_atom_site_label
_atom_site_type_symbol
_atom_site_fract_x
_atom_site_fract_y
_atom_site_fract_z
_atom_site_occupancy
Tb1 Tb 0.166 0.166 0.332 1
Tb2 Tb 0.834 0.834 0.668 1
Nd1 Nd 0.170 0.170 0.836 1
Nd2 Nd 0.500 0.500 0.500 1
Nd3 Nd 0.830 0.830 0.164 1
Sc1 Sc 0.500 0.500 0.000 1
Se1 Se 0.001 0.001 0.231 1
Se2 Se 0.331 0.331 0.424 1
Se3 Se 0.342 0.342 0.913 1
Se4 Se 0.658 0.658 0.087 1
Se5 Se 0.669 0.669 0.576 1
Se6 Se 0.999 0.999 0.769 1
```

Output
The total energy comes out at -6.002 eV per atom. The energy relative to the elements, uncorrected is -1.769 eV/atom. As for the symmetry: C2/m (12). The mass density comes out at 7.1 g cm⁻³.


# 2
Below is NaCaY2Rh after structural relaxation, with properties calculated at the PBE level.

The structure in CIF format:
```
data_NaCaY2Rh
_chemical_formula_sum 'Na1 Ca1 Y2 Rh1'
_cell_length_a 5.404
_cell_length_b 5.404
_cell_length_c 5.721
_cell_angle_alpha 90.00
_cell_angle_beta 90.00
_cell_angle_gamma 90.00
_space_group_name_H-M_alt 'P 1'
_space_group_IT_number 1
_space_group_name_Hall 'P 1'
loop_
_atom_site_label
_atom_site_type_symbol
_atom_site_fract_x
_atom_site_fract_y
_atom_site_fract_z
_atom_site_occupancy
Na1 Na 0.000 0.000 0.000 1
Ca1 Ca 0.500 0.500 0.000 1
Y1 Y 0.000 0.500 0.500 1
Y2 Y 0.500 0.000 0.500 1
Rh1 Rh 0.500 0.500 0.500 1
```

Output
The total energy comes out at -4.936 eV per atom. As for the symmetry: P4/mmm (123). Its formation energy is -216 meV/atom. The mass density comes out at 3.4 g cm⁻³.


# 3
Below is Pr5Sm3 after structural relaxation, with properties calculated at the PBE level.

The structure in CIF format:
```
data_Pr5Sm3
_chemical_formula_sum 'Pr10 Sm6'
_cell_length_a 7.419
_cell_length_b 8.770
_cell_length_c 8.770
_cell_angle_alpha 85.94
_cell_angle_beta 90.00
_cell_angle_gamma 90.00
_space_group_name_H-M_alt 'P 1'
_space_group_IT_number 1
_space_group_name_Hall 'P 1'
loop_
_atom_site_label
_atom_site_type_symbol
_atom_site_fract_x
_atom_site_fract_y
_atom_site_fract_z
_atom_site_occupancy
Pr1 Pr 0.000 0.000 0.000 1
Pr2 Pr 0.000 0.084 0.579 1
Pr3 Pr 0.000 0.579 0.084 1
Pr4 Pr 0.251 0.331 0.832 1
Pr5 Pr 0.251 0.749 0.749 1
Pr6 Pr 0.251 0.832 0.331 1
Pr7 Pr 0.500 0.498 0.498 1
Pr8 Pr 0.749 0.331 0.832 1
Pr9 Pr 0.749 0.749 0.749 1
Pr10 Pr 0.749 0.832 0.331 1
Sm1 Sm 0.000 0.499 0.499 1
Sm2 Sm 0.251 0.249 0.249 1
Sm3 Sm 0.500 0.000 0.000 1
Sm4 Sm 0.500 0.083 0.581 1
Sm5 Sm 0.500 0.581 0.083 1
Sm6 Sm 0.749 0.249 0.249 1
```

Output
The total energy comes out at -4.725 eV per atom. As for the symmetry: Amm2 (38). Its formation energy is 32 meV/atom. The mass density comes out at 6.7 g cm⁻³.